The following is a PBE calculation of a relaxed ScNi2B crystal, from Alexandria via LeMat-Bulk.

```
8
Lattice="-2.904 2.995 0.782 -2.946 -3.003 0.559 -1.476 -0.249 6.991" Properties=species:S:1:pos:R:3 pbc="T T T"
Ni -3.081 -1.041 2.332
Sc -3.653 1.371 4.222
Sc 0.000 0.000 0.000
Ni -3.816 -0.715 5.844
Ni -2.044 0.910 2.170
B -2.925 -0.004 0.671
Ni -5.711 0.331 6.319
B -3.674 -1.628 4.111
```

Calculated values
DOS at the Fermi energy = 1.9 states/eV/f.u.
spin magnetization = 0.000 μB/f.u.
space-group type = I-42d (122)
crystal system = tetragonal
total DFT energy (no corrections) = -6.16 eV/atom
DFT formation energy = -1.5 kJ/mol of atoms

The following is a PBE calculation of a relaxed KBeAu crystal, from Alexandria via LeMat-Bulk.

```
3
Lattice="-2.449 5.965 0.825 -5.889 2.705 0.508 4.371 -4.504 1.694" Properties=species:S:1:pos:R:3 pbc="T T T"
K -5.520 5.739 0.882
Be -3.391 3.526 0.542
Au -7.766 8.075 1.241
```

Calculated values
DOS at the Fermi energy = 0.9 states/eV/f.u.
spin magnetization = 0.000 μB/f.u.
space-group type = Imm2 (44)
crystal system = orthorhombic
polymorph energy (0 for the lowest one) = 92 meV/atom
total DFT energy (no corrections) = -2.66 eV/atom
DFT formation energy = 4.3 kJ/mol of atoms

The following is a PBE calculation of a relaxed MoIr2 crystal, from Alexandria via LeMat-Bulk.

```
3
Lattice="-1.918 -1.199 2.447 1.552 -3.541 -2.788 2.659 -1.475 1.362" Properties=species:S:1:pos:R:3 pbc="T T T"
Ir 0.129 -2.453 1.168
Ir 2.164 -3.762 -0.147
Mo 0.000 0.000 0.000
```

Calculated values
DOS at the Fermi energy = 4.4 states/eV/f.u.
spin magnetization = 0.000 μB/f.u.
space-group type = I4/mmm (139)
crystal system = tetragonal
total DFT energy (no corrections) = -9.40 eV/atom
DFT formation energy = 11.3 kJ/mol of atoms

The following is a PBE calculation of a relaxed Si2AgHg crystal, from Alexandria via LeMat-Bulk.

```
4
Lattice="2.868 -0.099 0.000 -1.385 2.514 0.000 0.000 0.000 11.041" Properties=species:S:1:pos:R:3 pbc="T T T"
Ag 0.742 1.207 2.760
Si 0.000 0.000 5.128
Si 0.000 0.000 0.393
Hg 0.742 1.207 8.281
```

Calculated values
DOS at the Fermi energy = 1.4 states/eV/f.u.
spin magnetization = 0.000 μB/f.u.
formation energy from raw total energies = 0.485 eV/atom
space-group type = Cmmm (65)
crystal system = orthorhombic
total DFT energy (no corrections) = -3.01 eV/atom

The following is a PBE calculation of a relaxed Nd2ErTl2Cd2 crystal, from Alexandria via LeMat-Bulk.

```
7
Lattice="5.007 0.000 0.000 2.503 4.336 0.000 2.503 1.445 9.251" Properties=species:S:1:pos:R:3 pbc="T T T"
Cd 5.007 2.891 7.753
Er 0.000 0.000 0.000
Tl 7.510 4.336 7.227
Nd 2.503 1.445 5.757
Cd 5.007 2.891 1.498
Nd 7.510 4.336 3.494
Tl 2.503 1.445 2.024
```

Calculated values
DOS at the Fermi energy = 5.3 states/eV/f.u.
spin magnetization = 0.001 μB/f.u.
space-group type = R-3m (166)
crystal system = trigonal
total DFT energy (no corrections) = -3.11 eV/atom
DFT formation energy = -14.9 kJ/mol of atoms

The following is a PBE calculation of a relaxed TeAsOsN2 crystal, from Alexandria via LeMat-Bulk.

```
5
Lattice="-2.051 2.103 2.286 -2.926 -2.227 -0.576 1.979 -4.014 5.468" Properties=species:S:1:pos:R:3 pbc="T T T"
Te 0.989 -2.007 2.734
Os -1.499 -2.069 3.589
N -1.025 1.052 1.143
As 0.000 0.000 0.000
N -1.463 -1.114 -0.288
```

Calculated values
DOS at the Fermi energy = 3.4 states/eV/f.u.
spin magnetization = 2.187 μB/f.u.
formation energy from raw total energies = 1.879 eV/atom
space-group type = P4/mmm (123)
crystal system = tetragonal
polymorph energy (0 for the lowest one) = 1058 meV/atom
total DFT energy (no corrections) = -5.26 eV/atom

The following is a PBE calculation of a relaxed Tl2InSb2Au7 crystal, from Alexandria via LeMat-Bulk.

```
12
Lattice="-0.388 0.170 -4.365 1.213 -4.203 -0.304 -14.258 -5.770 -0.591" Properties=species:S:1:pos:R:3 pbc="T T T"
Au -0.909 -4.729 -2.341
Sb -10.311 -6.684 -3.132
Au -12.525 -5.075 -2.919
In 0.000 0.000 0.000
Sb -3.123 -3.119 -2.127
Au 0.412 -2.017 -2.334
Tl -4.851 -5.961 -4.507
Tl -8.583 -3.842 -0.753
Au -1.724 -2.503 -4.408
Au -11.710 -7.300 -0.852
Au -7.756 -5.668 -3.046
Au -5.678 -4.135 -2.214
```

Calculated values
DOS at the Fermi energy = 6.1 states/eV/f.u.
spin magnetization = 0.000 μB/f.u.
formation energy from raw total energies = -0.030 eV/atom
space-group type = C2/m (12)
crystal system = monoclinic
total DFT energy (no corrections) = -3.25 eV/atom

The following is a PBE calculation of a relaxed CuBrCl2 crystal, from Alexandria via LeMat-Bulk.

```
4
Lattice="-2.664 -2.112 -3.088 0.659 0.243 4.539 -6.626 7.538 0.560" Properties=species:S:1:pos:R:3 pbc="T T T"
Cl -2.712 3.086 0.229
Cu -2.659 0.950 0.865
Br -5.972 4.719 1.145
Cl -0.601 0.683 0.051
```

Calculated values
DOS at the Fermi energy = 4.6 states/eV/f.u.
spin magnetization = 0.958 μB/f.u.
formation energy from raw total energies = -0.202 eV/atom
space-group type = Cmmm (65)
crystal system = orthorhombic
polymorph energy (0 for the lowest one) = 50 meV/atom
total DFT energy (no corrections) = -2.57 eV/atom

The following is a PBE calculation of a relaxed NaLaAs2Br crystal, from Alexandria via LeMat-Bulk.

```
5
Lattice="5.763 0.000 0.000 0.000 5.950 0.000 0.000 0.000 5.763" Properties=species:S:1:pos:R:3 pbc="T T T"
La 0.000 0.000 0.000
Br 0.000 2.975 0.000
Na 2.881 2.975 2.881
As 2.881 0.000 0.000
As 0.000 0.000 2.881
```

Calculated values
DOS at the Fermi energy = 3.5 states/eV/f.u.
spin magnetization = 0.820 μB/f.u.
formation energy from raw total energies = -0.382 eV/atom
space-group type = P4/mmm (123)
crystal system = tetragonal
polymorph energy (0 for the lowest one) = 0 meV/atom
total DFT energy (no corrections) = -3.83 eV/atom

The following is a PBE calculation of a relaxed CaScPb3 crystal, from Alexandria via LeMat-Bulk.

```
5
Lattice="5.585 0.000 0.000 0.000 5.585 0.000 0.000 0.000 5.585" Properties=species:S:1:pos:R:3 pbc="T T T"
Pb 2.793 0.000 0.000
Pb 0.000 2.793 0.000
Pb 0.000 0.000 2.793
Sc 0.000 0.000 0.000
Ca 2.793 2.793 2.793
```

Calculated values
DOS at the Fermi energy = 3.0 states/eV/f.u.
spin magnetization = 0.000 μB/f.u.
space-group type = Pm-3m (221)
crystal system = cubic
polymorph energy (0 for the lowest one) = 0 meV/atom
total DFT energy (no corrections) = -3.92 eV/atom
DFT formation energy = -2.6 kJ/mol of atoms

The following is a PBE calculation of a relaxed NaMg2Co2 crystal, from Alexandria via LeMat-Bulk.

```
10
Lattice="-7.040 -2.914 -2.088 3.294 -3.439 -6.304 0.496 -2.273 1.499" Properties=species:S:1:pos:R:3 pbc="T T T"
Mg -0.235 -1.624 -2.384
Na 0.000 0.000 0.000
Co -4.762 -5.121 -3.633
Co -1.034 -5.979 -6.168
Mg -4.202 -2.614 -2.573
Co 1.512 -3.505 -3.259
Co -2.217 -2.647 -0.725
Mg -3.511 -4.729 -6.008
Na -1.873 -3.177 -4.196
Mg 0.456 -3.739 -5.819
```

Calculated values
DOS at the Fermi energy = 4.6 states/eV/f.u.
spin magnetization = 2.431 μB/f.u.
space-group type = P4/mbm (127)
crystal system = tetragonal
polymorph energy (0 for the lowest one) = 43 meV/atom
total DFT energy (no corrections) = -3.43 eV/atom
DFT formation energy = 30.1 kJ/mol of atoms

The following is a PBE calculation of a relaxed CdReSb2I crystal, from Alexandria via LeMat-Bulk.

```
5
Lattice="-2.236 3.266 -3.836 0.295 -4.105 -3.667 -5.235 -1.762 1.551" Properties=species:S:1:pos:R:3 pbc="T T T"
Re -3.588 -1.300 -2.976
Sb 0.148 -2.052 -1.833
Sb -1.118 1.633 -1.918
Cd 0.000 0.000 0.000
I -2.618 -0.881 0.775
```

Calculated values
DOS at the Fermi energy = 3.0 states/eV/f.u.
spin magnetization = 3.720 μB/f.u.
formation energy from raw total energies = 1.690 eV/atom
space-group type = P4/mmm (123)
crystal system = tetragonal
polymorph energy (0 for the lowest one) = 1108 meV/atom
total DFT energy (no corrections) = -2.94 eV/atom

The following is a PBE calculation of a relaxed Sc2BeCu2 crystal, from Alexandria via LeMat-Bulk.

```
5
Lattice="-3.232 -2.468 3.069 3.421 0.207 3.770 -1.196 1.813 4.428" Properties=species:S:1:pos:R:3 pbc="T T T"
Be 0.000 0.000 0.000
Cu -0.675 -0.290 7.513
Sc -2.167 -0.892 5.458
Cu -0.332 -0.157 3.753
Sc 1.160 0.445 5.808
```

Calculated values
DOS at the Fermi energy = 0.3 states/eV/f.u.
spin magnetization = 0.000 μB/f.u.
space-group type = I4/mmm (139)
crystal system = tetragonal
polymorph energy (0 for the lowest one) = 192 meV/atom
total DFT energy (no corrections) = -4.80 eV/atom
DFT formation energy = 11.0 kJ/mol of atoms